Here is K2ZnAu at its PBEsol-relaxed geometry from Alexandria via LeMat-Bulk. Energies are from SCAN.

Unit cell a=4.206 b=5.348 c=11.092 alpha=90.00 beta=90.00 gamma=90.00
Space group Imm2 (No. 44)
One atom of each set of equivalent atoms:
K  0.000  0.000  0.000 [2 per cell]
K  0.000  0.500  0.202 [2 per cell]
Zn  0.000  0.500  0.794 [2 per cell]
Au  0.000  0.000  0.420 [2 per cell]

Values from the calculation:
Formation enthalpy at 0 K, eV per atom: -0.204
Theoretical density, g/cm³: 4.53
Magnetic moment, Bohr magnetons per cell: 0.00
Distance to the lowest polymorph of the same formula, eV/atom: 0.040